1.
This record from the Alexandria database describes a geometry-optimized Ba3TiRh structure. The functional is PBE.

Values from the calculation:
* D(E_F): 2.20 states/eV/atom
* E above lowest polymorph: 0 meV/atom
* DFT total energy: -3.7681 eV/atom
* formation enthalpy at 0 K: 0.43 eV per atom

a = 6.0059 Å, b = 6.0059 Å, c = 6.0059 Å
α = 90.00°, β = 90.00°, γ = 90.00°
Positions (direct):
Ba (0.0000, 0.0000, 0.5000)
Ba (0.0000, 0.5000, 0.0000)
Ba (0.5000, 0.0000, 0.0000)
Ti (0.5000, 0.5000, 0.5000)
Rh (0.0000, 0.0000, 0.0000)

=====

2.
This record from the Alexandria database describes a geometry-optimized BaTi3Rh structure. The functional is PBE.

Values from the calculation:
* D(E_F): 1.64 states/eV/atom
* E above lowest polymorph: 1650 meV/atom
* DFT total energy: -4.6445 eV/atom
* formation enthalpy at 0 K: 1.95 eV per atom

a = 4.8698 Å, b = 4.8698 Å, c = 4.8698 Å
α = 90.00°, β = 90.00°, γ = 90.00°
Positions (direct):
Ba (0.0000, 0.0000, 0.0000)
Ti (0.0000, 0.0000, 0.5000)
Ti (0.0000, 0.5000, 0.0000)
Ti (0.5000, 0.0000, 0.0000)
Rh (0.5000, 0.5000, 0.5000)

=====

3.
This record from the Alexandria database describes a geometry-optimized BaTiRh2 structure. The functional is PBE.

Values from the calculation:
* D(E_F): 1.44 states/eV/atom
* E above lowest polymorph: 166 meV/atom
* DFT total energy: -5.9654 eV/atom
* formation enthalpy at 0 K: 0.16 eV per atom

a = 4.8476 Å, b = 4.8476 Å, c = 4.8476 Å
α = 60.00°, β = 60.00°, γ = 60.00°
Positions (direct):
Ba (0.0000, 0.0000, 0.0000)
Ti (0.5000, 0.5000, 0.5000)
Rh (0.2500, 0.2500, 0.2500)
Rh (0.7500, 0.7500, 0.7500)

=====

4.
This record from the Alexandria database describes a geometry-optimized BaTi2Rh structure. The functional is PBE.

Values from the calculation:
* D(E_F): 1.72 states/eV/atom
* E above lowest polymorph: 59 meV/atom
* DFT total energy: -5.7535 eV/atom
* formation enthalpy at 0 K: 0.51 eV per atom

a = 9.4046 Å, b = 9.4046 Å, c = 9.4046 Å
α = 148.44°, β = 148.44°, γ = 45.24°
Positions (direct):
Ba (0.3750, 0.6250, 0.7500)
Ba (0.6250, 0.3750, 0.2500)
Ti (0.0000, 0.0000, 0.0000)
Ti (0.0000, 0.0000, 0.5000)
Ti (0.0000, 0.5000, 0.0000)
Ti (0.5000, 0.0000, 0.5000)
Rh (0.1250, 0.8750, 0.2500)
Rh (0.8750, 0.1250, 0.7500)

=====

5.
This record from the Alexandria database describes a geometry-optimized BaTi3Rh structure. The functional is PBE.

Values from the calculation:
* D(E_F): 2.24 states/eV/atom
* E above lowest polymorph: 0 meV/atom
* DFT total energy: -6.2942 eV/atom
* formation enthalpy at 0 K: 0.30 eV per atom

a = 4.9270 Å, b = 4.9270 Å, c = 4.9270 Å
α = 90.00°, β = 90.00°, γ = 90.00°
Positions (direct):
Ba (0.0000, 0.0000, 0.0000)
Ti (0.0000, 0.5000, 0.5000)
Ti (0.5000, 0.0000, 0.5000)
Ti (0.5000, 0.5000, 0.0000)
Rh (0.5000, 0.5000, 0.5000)

=====

6.
This record from the Alexandria database describes a geometry-optimized BaTi2Rh structure. The functional is PBE.

Values from the calculation:
* D(E_F): 1.64 states/eV/atom
* E above lowest polymorph: 0 meV/atom
* DFT total energy: -5.8129 eV/atom
* formation enthalpy at 0 K: 0.45 eV per atom

a = 4.7908 Å, b = 4.7908 Å, c = 4.7908 Å
α = 60.00°, β = 60.00°, γ = 60.00°
Positions (direct):
Ba (0.0000, 0.0000, 0.0000)
Ti (0.2500, 0.2500, 0.2500)
Ti (0.7500, 0.7500, 0.7500)
Rh (0.5000, 0.5000, 0.5000)